(1)
This record from Alexandria via LeMat-Bulk describes crystalline NbSe2Cl2 at its relaxed geometry. The functional is PBEsol.

The uncorrected energy comes out at -5.447 eV per atom. For the formation energy (no corrections), the calculation gives -0.939 eV per atom. As for the total magnetic moment: 0.00 μB/f.u.

Cell lengths 6.283, 6.498, 7.535 Å; angles 66.20, 69.23, 61.19 degrees
Fractional coordinates of all 10 atoms:
Se (0.925, 0.887, 0.322)
Se (0.723, 0.048, 0.864)
Se (0.075, 0.113, 0.678)
Se (0.277, 0.952, 0.136)
Nb (0.871, 0.260, 0.000)
Nb (0.129, 0.740, 0.000)
Cl (0.151, 0.494, 0.790)
Cl (0.429, 0.348, 0.210)
Cl (0.849, 0.506, 0.210)
Cl (0.571, 0.652, 0.790)

---

(2)
This record from Alexandria via LeMat-Bulk describes crystalline Nb2SeCl at its relaxed geometry. The functional is PBEsol.

The calculation puts the density of states at the Fermi level at 6.89 states/eV/f.u. The uncorrected energy comes out at -7.001 eV per atom. For the formation energy (no corrections), the calculation gives -0.126 eV per atom. As for the total magnetic moment: 0.02 μB/f.u.

Cell lengths 4.482, 4.482, 4.482 Å; angles 60.00, 60.00, 60.00 degrees
Fractional coordinates of all 4 atoms:
Cl (0.000, 0.000, 0.000)
Nb (0.750, 0.750, 0.750)
Nb (0.250, 0.250, 0.250)
Se (0.500, 0.500, 0.500)

---

(3)
This record from Alexandria via LeMat-Bulk describes crystalline Nb3Se5Cl7 at its relaxed geometry. The functional is PBEsol.

The uncorrected energy comes out at -5.367 eV per atom. For the formation energy (no corrections), the calculation gives -0.982 eV per atom. As for the total magnetic moment: 0.00 μB/f.u.

Cell lengths 7.868, 8.219, 12.564 Å; angles 90.00, 90.00, 109.48 degrees
Fractional coordinates of all 30 atoms:
Se (0.181, 0.853, 0.973)
Se (0.284, 0.136, 0.468)
Se (0.716, 0.864, 0.532)
Se (0.716, 0.864, 0.968)
Se (0.577, 0.226, 0.250)
Se (0.181, 0.853, 0.527)
Se (0.423, 0.774, 0.750)
Se (0.819, 0.147, 0.027)
Se (0.284, 0.136, 0.032)
Se (0.819, 0.147, 0.473)
Cl (0.149, 0.399, 0.616)
Cl (0.945, 0.820, 0.750)
Cl (0.600, 0.478, 0.883)
Cl (0.851, 0.601, 0.116)
Cl (0.055, 0.180, 0.250)
Cl (0.713, 0.864, 0.250)
Cl (0.168, 0.858, 0.250)
Cl (0.287, 0.136, 0.750)
Cl (0.400, 0.522, 0.117)
Cl (0.832, 0.142, 0.750)
Cl (0.600, 0.478, 0.617)
Cl (0.400, 0.522, 0.383)
Cl (0.851, 0.601, 0.384)
Cl (0.149, 0.399, 0.884)
Nb (0.975, 0.939, 0.111)
Nb (0.602, 0.511, 0.250)
Nb (0.398, 0.489, 0.750)
Nb (0.975, 0.939, 0.389)
Nb (0.025, 0.061, 0.611)
Nb (0.025, 0.061, 0.889)

---

(4)
This record from Alexandria via LeMat-Bulk describes crystalline Nb2SeCl at its relaxed geometry. The functional is PBEsol.

The calculation puts the density of states at the Fermi level at 4.65 states/eV/f.u. The uncorrected energy comes out at -6.674 eV per atom. For the formation energy (no corrections), the calculation gives 0.201 eV per atom. As for the total magnetic moment: 0.00 μB/f.u.

Cell lengths 5.745, 5.745, 5.745 Å; angles 106.49, 106.49, 115.61 degrees
Fractional coordinates of all 8 atoms:
Se (0.250, 0.750, 0.500)
Se (0.000, 0.000, 0.000)
Nb (0.848, 0.875, 0.473)
Nb (0.402, 0.375, 0.527)
Nb (0.625, 0.152, 0.027)
Nb (0.125, 0.598, 0.973)
Cl (0.750, 0.250, 0.500)
Cl (0.500, 0.500, 0.000)

---

- Which of these has the highest formation energy (no corrections)?
  number 4

---

Copy entry 3 word for word.
This record from Alexandria via LeMat-Bulk describes crystalline Nb3Se5Cl7 at its relaxed geometry. The functional is PBEsol.

The uncorrected energy comes out at -5.367 eV per atom. For the formation energy (no corrections), the calculation gives -0.982 eV per atom. As for the total magnetic moment: 0.00 μB/f.u.

Cell lengths 7.868, 8.219, 12.564 Å; angles 90.00, 90.00, 109.48 degrees
Fractional coordinates of all 30 atoms:
Se (0.181, 0.853, 0.973)
Se (0.284, 0.136, 0.468)
Se (0.716, 0.864, 0.532)
Se (0.716, 0.864, 0.968)
Se (0.577, 0.226, 0.250)
Se (0.181, 0.853, 0.527)
Se (0.423, 0.774, 0.750)
Se (0.819, 0.147, 0.027)
Se (0.284, 0.136, 0.032)
Se (0.819, 0.147, 0.473)
Cl (0.149, 0.399, 0.616)
Cl (0.945, 0.820, 0.750)
Cl (0.600, 0.478, 0.883)
Cl (0.851, 0.601, 0.116)
Cl (0.055, 0.180, 0.250)
Cl (0.713, 0.864, 0.250)
Cl (0.168, 0.858, 0.250)
Cl (0.287, 0.136, 0.750)
Cl (0.400, 0.522, 0.117)
Cl (0.832, 0.142, 0.750)
Cl (0.600, 0.478, 0.617)
Cl (0.400, 0.522, 0.383)
Cl (0.851, 0.601, 0.384)
Cl (0.149, 0.399, 0.884)
Nb (0.975, 0.939, 0.111)
Nb (0.602, 0.511, 0.250)
Nb (0.398, 0.489, 0.750)
Nb (0.975, 0.939, 0.389)
Nb (0.025, 0.061, 0.611)
Nb (0.025, 0.061, 0.889)